# ZrTlRu

A relaxed ZrTlRu crystal (PBE, Alexandria).

a b c (Å): 3.3113 3.3113 6.6604
angles (deg): 90.00 90.00 120.00
Fractional coordinates of all 3 atoms:
Ru1 0.0000 0.0000 0.9768
Tl1 0.6667 0.3333 0.3169
Zr1 0.3333 0.6667 0.7063

Properties
Offset from the most stable computed form, eV per atom: 0.1717
Calculated formation energy, meV per atom: 106
Total magnetic moment, μB per formula unit: 0.00